A geometry-optimized TaH2Rh structure, computed with PBE-GGA. Values from VASP.

Values from the calculation:
ΔE to the lowest computed polymorph, meV per atom: 407
DFT total energy, eV/atom: -6.14

```
&SYSTEM
  ibrav = 0, nat = 4, ntyp = 3
/
ATOMIC_SPECIES
H 1.01 H.upf
Rh 102.91 Rh.upf
Ta 180.95 Ta.upf
ATOMIC_POSITIONS crystal
H 0.250 0.250 0.250
H 0.750 0.750 0.750
Rh 0.000 0.000 0.000
Ta 0.500 0.500 0.500
CELL_PARAMETERS angstrom
0.000 2.685 2.685
2.685 0.000 2.685
2.685 2.685 0.000
```

A geometry-optimized K2PuZrO6 structure, computed with PBE-GGA. Values from VASP.

Values from the calculation:
Formation energy without anion corrections, eV per atom: -2.602
DFT total energy, eV/atom: -8.08

```
&SYSTEM
  ibrav = 0, nat = 20, ntyp = 4
/
ATOMIC_SPECIES
K 39.10 K.upf
Pu 244.00 Pu.upf
Zr 91.22 Zr.upf
O 16.00 O.upf
ATOMIC_POSITIONS crystal
K 0.500 0.750 0.250
K 0.000 0.250 0.750
K 0.500 0.750 0.750
K 0.000 0.250 0.250
Pu 0.500 0.250 0.500
Pu 0.000 0.750 0.000
Zr 0.000 0.750 0.500
Zr 0.500 0.250 0.000
O 0.500 0.250 0.253
O 0.500 0.250 0.747
O 0.000 0.750 0.247
O 0.000 0.750 0.753
O 0.253 0.003 0.500
O 0.747 0.003 0.500
O 0.253 0.497 0.500
O 0.747 0.497 0.500
O 0.753 0.503 0.000
O 0.247 0.503 0.000
O 0.247 0.997 0.000
O 0.753 0.997 0.000
CELL_PARAMETERS angstrom
5.953 0.000 0.000
0.000 5.952 0.000
0.000 0.000 8.418
```

A geometry-optimized NbReBPt2 structure, computed with PBE-GGA. Values from VASP.

Values from the calculation:
Formation energy from the elements, eV/atom: 2.349
DFT total energy, eV/atom: -5.91

```
&SYSTEM
  ibrav = 0, nat = 5, ntyp = 4
/
ATOMIC_SPECIES
Re 186.21 Re.upf
Nb 92.91 Nb.upf
B 10.81 B.upf
Pt 195.08 Pt.upf
ATOMIC_POSITIONS crystal
Re 0.000 0.500 0.000
Nb 0.000 0.000 0.000
B 0.500 0.500 0.500
Pt 0.000 0.000 0.500
Pt 0.500 0.000 0.000
CELL_PARAMETERS angstrom
4.916 0.000 0.000
0.000 4.781 0.000
0.000 0.000 4.916
```

A geometry-optimized CoSi4Sb structure, computed with PBE-GGA. Values from VASP.

Values from the calculation:
Formation energy without anion corrections, eV per atom: 0.685
DFT total energy, eV/atom: -4.80

```
&SYSTEM
  ibrav = 0, nat = 6, ntyp = 3
/
ATOMIC_SPECIES
Co 58.93 Co.upf
Si 28.09 Si.upf
Sb 121.76 Sb.upf
ATOMIC_POSITIONS crystal
Co 0.750 0.750 0.750
Si 0.872 0.376 0.376
Si 0.376 0.376 0.872
Si 0.376 0.872 0.376
Si 0.376 0.376 0.376
Sb 0.000 0.000 0.000
CELL_PARAMETERS angstrom
-1.424 -3.368 3.650
-0.201 1.482 4.946
-4.569 0.522 2.357
```

A geometry-optimized Be2TlZn structure, computed with PBE-GGA. Values from VASP.

Values from the calculation:
ΔE to the lowest computed polymorph, meV per atom: 366
Formation energy from the elements, eV/atom: 0.658
DFT total energy, eV/atom: -2.12

```
&SYSTEM
  ibrav = 0, nat = 4, ntyp = 3
/
ATOMIC_SPECIES
Be 9.01 Be.upf
Tl 204.38 Tl.upf
Zn 65.41 Zn.upf
ATOMIC_POSITIONS crystal
Be 0.000 0.000 0.000
Be 0.250 0.750 0.500
Tl 0.500 0.500 0.000
Zn 0.750 0.250 0.500
CELL_PARAMETERS angstrom
4.857 0.005 0.000
1.751 4.531 0.000
-3.304 -2.268 2.745
```

A geometry-optimized LiPNCl2 structure, computed with PBE-GGA. Values from VASP.

Values from the calculation:
Formation energy without anion corrections, eV per atom: 0.210
ΔE to the lowest computed polymorph, meV per atom: 0
DFT total energy, eV/atom: -3.66

```
&SYSTEM
  ibrav = 0, nat = 5, ntyp = 4
/
ATOMIC_SPECIES
P 30.97 P.upf
N 14.01 N.upf
Li 6.94 Li.upf
Cl 35.45 Cl.upf
ATOMIC_POSITIONS crystal
P 0.000 0.000 0.500
N 0.000 0.000 0.000
Li 0.500 0.500 0.500
Cl 0.000 0.500 0.000
Cl 0.500 0.000 0.000
CELL_PARAMETERS angstrom
5.555 0.000 0.000
0.000 5.555 0.000
0.000 0.000 3.384
```

A geometry-optimized AcPr5Dy6 structure, computed with PBE-GGA. Values from VASP.

Values from the calculation:
Formation energy from the elements, eV/atom: 0.026
DFT total energy, eV/atom: -4.61

```
&SYSTEM
  ibrav = 0, nat = 12, ntyp = 3
/
ATOMIC_SPECIES
Pr 140.91 Pr.upf
Ac 227.00 Ac.upf
Dy 162.50 Dy.upf
ATOMIC_POSITIONS crystal
Pr 0.669 0.169 0.338
Pr 0.333 0.333 0.666
Pr 0.000 0.500 0.000
Pr 0.667 0.667 0.334
Pr 0.331 0.831 0.662
Ac 0.000 0.000 0.000
Dy 0.832 0.580 0.664
Dy 0.832 0.084 0.664
Dy 0.500 0.746 0.000
Dy 0.500 0.254 0.000
Dy 0.168 0.916 0.336
Dy 0.168 0.420 0.336
CELL_PARAMETERS angstrom
-3.514 1.311 -3.617
7.151 -0.685 -7.197
-3.569 -7.831 4.384
```

A geometry-optimized La7Nd4Tm structure, computed with PBE-GGA. Values from VASP.

Values from the calculation:
ΔE to the lowest computed polymorph, meV per atom: 197
Formation energy from the elements, eV/atom: 0.213
DFT total energy, eV/atom: -4.62

```
&SYSTEM
  ibrav = 0, nat = 12, ntyp = 3
/
ATOMIC_SPECIES
La 138.91 La.upf
Nd 144.24 Nd.upf
Tm 168.93 Tm.upf
ATOMIC_POSITIONS crystal
La 0.815 0.897 0.473
La 0.185 0.103 0.527
La 0.075 0.578 0.272
La 0.925 0.422 0.728
La 0.271 0.685 0.773
La 0.500 0.000 0.000
La 0.729 0.315 0.227
Nd 0.542 0.281 0.636
Nd 0.458 0.719 0.364
Nd 0.688 0.680 0.945
Nd 0.312 0.320 0.055
Tm 0.000 0.000 0.000
CELL_PARAMETERS angstrom
6.145 0.000 0.000
3.073 8.708 1.715
3.073 1.456 8.348
```

A geometry-optimized LiCrNiSn structure, computed with PBE-GGA. Values from VASP.

Values from the calculation:
Formation energy from the elements, eV/atom: -0.075
DFT total energy, eV/atom: -5.41

```
&SYSTEM
  ibrav = 0, nat = 4, ntyp = 4
/
ATOMIC_SPECIES
Ni 58.69 Ni.upf
Li 6.94 Li.upf
Sn 118.71 Sn.upf
Cr 52.00 Cr.upf
ATOMIC_POSITIONS crystal
Ni 0.500 0.500 0.500
Li 0.000 0.000 0.000
Sn 0.250 0.250 0.250
Cr 0.750 0.750 0.750
CELL_PARAMETERS angstrom
4.333 0.000 0.000
2.166 3.752 0.000
2.166 1.251 3.538
```

A geometry-optimized Tl2ReBiB structure, computed with PBE-GGA. Values from VASP.

Values from the calculation:
Formation energy from the elements, eV/atom: 1.502
DFT total energy, eV/atom: -4.05

```
&SYSTEM
  ibrav = 0, nat = 5, ntyp = 4
/
ATOMIC_SPECIES
Re 186.21 Re.upf
Tl 204.38 Tl.upf
B 10.81 B.upf
Bi 208.98 Bi.upf
ATOMIC_POSITIONS crystal
Re 0.000 0.000 0.000
Tl 0.000 0.000 0.500
Tl 0.500 0.000 0.000
B 0.500 0.500 0.500
Bi 0.000 0.500 0.000
CELL_PARAMETERS angstrom
5.393 0.000 0.000
0.000 5.231 0.000
0.000 0.000 5.393
```

A geometry-optimized K2HgPt structure, computed with PBE-GGA. Values from VASP.

Values from the calculation:
Formation energy from the elements, eV/atom: -0.022
DFT total energy, eV/atom: -2.16

```
&SYSTEM
  ibrav = 0, nat = 4, ntyp = 3
/
ATOMIC_SPECIES
Hg 200.59 Hg.upf
K 39.10 K.upf
Pt 195.08 Pt.upf
ATOMIC_POSITIONS crystal
Hg 0.500 0.500 0.651
K 0.000 0.000 0.918
K 0.500 0.500 0.331
Pt 0.000 0.000 0.600
CELL_PARAMETERS angstrom
3.852 0.011 0.000
-0.012 3.852 0.000
0.000 0.000 9.724
```

A geometry-optimized Nd2Sm6Y3Er structure, computed with PBE-GGA. Values from VASP.

Values from the calculation:
Formation energy from the elements, eV/atom: 0.014
DFT total energy, eV/atom: -5.14

```
&SYSTEM
  ibrav = 0, nat = 12, ntyp = 4
/
ATOMIC_SPECIES
Nd 144.24 Nd.upf
Sm 150.36 Sm.upf
Y 88.91 Y.upf
Er 167.26 Er.upf
ATOMIC_POSITIONS crystal
Nd 0.333 0.667 0.000
Nd 0.667 0.333 0.000
Sm 0.916 0.584 0.749
Sm 0.752 0.752 0.252
Sm 0.084 0.416 0.251
Sm 0.584 0.916 0.749
Sm 0.248 0.248 0.748
Sm 0.416 0.084 0.251
Y 0.166 0.834 0.500
Y 0.834 0.166 0.500
Y 0.500 0.500 0.500
Er 0.000 0.000 0.000
CELL_PARAMETERS angstrom
-0.372 1.152 -6.143
0.450 -5.896 2.057
-11.770 0.884 1.941
```

A geometry-optimized Ca2CdIrF structure, computed with PBE-GGA. Values from VASP.

Values from the calculation:
Formation energy without anion corrections, eV per atom: -0.694
DFT total energy, eV/atom: -3.82

```
&SYSTEM
  ibrav = 0, nat = 5, ntyp = 4
/
ATOMIC_SPECIES
Ca 40.08 Ca.upf
Ir 192.22 Ir.upf
F 19.00 F.upf
Cd 112.41 Cd.upf
ATOMIC_POSITIONS crystal
Ca 0.000 0.000 0.500
Ca 0.500 0.000 0.000
Ir 0.000 0.500 0.000
F 0.000 0.000 0.000
Cd 0.500 0.500 0.500
CELL_PARAMETERS angstrom
4.708 0.000 0.000
0.000 4.689 0.000
0.000 0.000 4.708
```

A geometry-optimized P2SO structure, computed with PBE-GGA. Values from VASP.

Values from the calculation:
Formation energy without anion corrections, eV per atom: 0.706
ΔE to the lowest computed polymorph, meV per atom: 511
DFT total energy, eV/atom: -4.27

```
&SYSTEM
  ibrav = 0, nat = 4, ntyp = 3
/
ATOMIC_SPECIES
P 30.97 P.upf
S 32.06 S.upf
O 16.00 O.upf
ATOMIC_POSITIONS crystal
P 0.250 0.250 0.250
P 0.750 0.750 0.750
S 0.500 0.500 0.500
O 0.000 0.000 0.000
CELL_PARAMETERS angstrom
-0.373 -2.841 2.989
-3.244 0.113 2.570
-2.945 -2.899 -0.255
```

A geometry-optimized HoTmSbS structure, computed with PBE-GGA. Values from VASP.

Values from the calculation:
Formation energy without anion corrections, eV per atom: -1.324
DFT total energy, eV/atom: -5.65

```
&SYSTEM
  ibrav = 0, nat = 4, ntyp = 4
/
ATOMIC_SPECIES
Ho 164.93 Ho.upf
Tm 168.93 Tm.upf
Sb 121.76 Sb.upf
S 32.06 S.upf
ATOMIC_POSITIONS crystal
Ho 0.974 0.385 0.375
Tm 0.297 0.546 0.858
Sb 0.132 0.964 0.111
S 0.475 0.136 0.626
CELL_PARAMETERS angstrom
-0.059 -2.965 2.704
1.069 -0.764 -3.792
6.615 3.620 1.137
```

A geometry-optimized AgPdCl2 structure, computed with PBE-GGA. Values from VASP.

Values from the calculation:
Formation energy without anion corrections, eV per atom: -0.089
ΔE to the lowest computed polymorph, meV per atom: 46
DFT total energy, eV/atom: -3.02

```
&SYSTEM
  ibrav = 0, nat = 4, ntyp = 3
/
ATOMIC_SPECIES
Pd 106.42 Pd.upf
Ag 107.87 Ag.upf
Cl 35.45 Cl.upf
ATOMIC_POSITIONS crystal
Pd 0.500 0.500 0.500
Ag 0.000 0.000 0.000
Cl 0.895 0.895 0.895
Cl 0.105 0.105 0.105
CELL_PARAMETERS angstrom
2.254 0.000 7.544
-1.127 1.952 7.544
-1.127 -1.952 7.544
```

A geometry-optimized MnFe2W structure, computed with PBE-GGA. Values from VASP.

Values from the calculation:
ΔE to the lowest computed polymorph, meV per atom: 601
Formation energy from the elements, eV/atom: 0.643
DFT total energy, eV/atom: -9.12

```
&SYSTEM
  ibrav = 0, nat = 8, ntyp = 3
/
ATOMIC_SPECIES
Mn 54.94 Mn.upf
Fe 55.84 Fe.upf
W 183.84 W.upf
ATOMIC_POSITIONS crystal
Mn 0.500 0.500 0.000
Mn 0.250 0.750 0.500
Fe 0.611 0.125 0.250
Fe 0.139 0.625 0.250
Fe 0.375 0.389 0.750
Fe 0.875 0.861 0.750
W 0.000 0.000 0.000
W 0.750 0.250 0.500
CELL_PARAMETERS angstrom
3.459 0.000 0.000
0.000 3.459 0.000
1.729 1.729 9.086
```

A geometry-optimized BaLiYCd2 structure, computed with PBE-GGA. Values from VASP.

Values from the calculation:
Formation energy from the elements, eV/atom: 0.176
DFT total energy, eV/atom: -2.25

```
&SYSTEM
  ibrav = 0, nat = 5, ntyp = 4
/
ATOMIC_SPECIES
Y 88.91 Y.upf
Li 6.94 Li.upf
Ba 137.33 Ba.upf
Cd 112.41 Cd.upf
ATOMIC_POSITIONS crystal
Y 0.500 0.500 0.500
Li 0.000 0.000 0.000
Ba 0.000 0.500 0.000
Cd 0.000 0.000 0.500
Cd 0.500 0.000 0.000
CELL_PARAMETERS angstrom
5.195 0.000 0.000
0.000 5.368 0.000
0.000 0.000 5.195
```

A geometry-optimized AcSb3H structure, computed with PBE-GGA. Values from VASP.

Values from the calculation:
DFT total energy, eV/atom: -4.20

```
&SYSTEM
  ibrav = 0, nat = 5, ntyp = 3
/
ATOMIC_SPECIES
Sb 121.76 Sb.upf
Ac 227.00 Ac.upf
H 1.01 H.upf
ATOMIC_POSITIONS crystal
Sb 0.000 0.500 0.000
Sb 0.000 0.000 0.500
Sb 0.500 0.000 0.000
Ac 0.500 0.500 0.500
H 0.000 0.000 0.000
CELL_PARAMETERS angstrom
-1.493 0.470 -4.710
1.966 -4.431 -1.065
-4.306 -2.187 1.147
```

A geometry-optimized Be2Se structure, computed with PBE-GGA. Values from VASP.

Values from the calculation:
Formation energy without anion corrections, eV per atom: 0.621
ΔE to the lowest computed polymorph, meV per atom: 910
DFT total energy, eV/atom: -3.03

```
&SYSTEM
  ibrav = 0, nat = 9, ntyp = 2
/
ATOMIC_SPECIES
Be 9.01 Be.upf
Se 78.96 Se.upf
ATOMIC_POSITIONS crystal
Be 0.260 0.000 0.000
Be 0.000 0.260 0.000
Be 0.740 0.740 0.000
Be 0.513 0.000 0.500
Be 0.000 0.513 0.500
Be 0.487 0.487 0.500
Se 0.333 0.667 0.000
Se 0.667 0.333 0.000
Se 0.000 0.000 0.500
CELL_PARAMETERS angstrom
-0.280 3.262 5.762
-2.913 -5.922 -0.600
2.792 -1.471 0.968
```

A geometry-optimized Na3LaTc structure, computed with PBE-GGA. Values from VASP.

Values from the calculation:
ΔE to the lowest computed polymorph, meV per atom: 555
Formation energy from the elements, eV/atom: 0.589
DFT total energy, eV/atom: -3.26

```
&SYSTEM
  ibrav = 0, nat = 10, ntyp = 3
/
ATOMIC_SPECIES
Na 22.99 Na.upf
Tc 98.00 Tc.upf
La 138.91 La.upf
ATOMIC_POSITIONS crystal
Na 0.060 0.425 0.250
Na 0.575 0.940 0.250
Na 0.425 0.060 0.750
Na 0.940 0.575 0.750
Na 0.000 0.000 0.000
Na 0.000 0.000 0.500
Tc 0.154 0.846 0.250
Tc 0.846 0.154 0.750
La 0.624 0.376 0.250
La 0.376 0.624 0.750
CELL_PARAMETERS angstrom
2.542 -8.822 0.000
2.542 8.822 0.000
0.000 0.000 6.407
```

A geometry-optimized ZnGeW2 structure, computed with PBE-GGA. Values from VASP.

Values from the calculation:
ΔE to the lowest computed polymorph, meV per atom: 1531
Formation energy from the elements, eV/atom: 2.066
DFT total energy, eV/atom: -5.88

```
&SYSTEM
  ibrav = 0, nat = 8, ntyp = 3
/
ATOMIC_SPECIES
Ge 72.64 Ge.upf
Zn 65.41 Zn.upf
W 183.84 W.upf
ATOMIC_POSITIONS crystal
Ge 0.000 0.000 0.000
Ge 0.750 0.250 0.500
Zn 0.500 0.500 0.000
Zn 0.250 0.750 0.500
W 0.616 0.125 0.250
W 0.134 0.625 0.250
W 0.375 0.384 0.750
W 0.875 0.866 0.750
CELL_PARAMETERS angstrom
5.685 0.000 0.000
0.000 5.685 0.000
2.843 2.843 5.610
```

A geometry-optimized AcPmAg10 structure, computed with PBE-GGA. Values from VASP.

Values from the calculation:
Formation energy from the elements, eV/atom: -0.140
DFT total energy, eV/atom: -3.25

```
&SYSTEM
  ibrav = 0, nat = 12, ntyp = 3
/
ATOMIC_SPECIES
Ac 227.00 Ac.upf
Pm 145.00 Pm.upf
Ag 107.87 Ag.upf
ATOMIC_POSITIONS crystal
Ac 0.000 0.500 0.500
Pm 0.000 0.000 0.000
Ag 0.000 0.000 0.326
Ag 0.000 0.500 0.840
Ag 0.000 0.500 0.160
Ag 0.000 0.000 0.674
Ag 0.500 0.000 0.500
Ag 0.500 0.500 0.000
Ag 0.500 0.248 0.246
Ag 0.500 0.752 0.754
Ag 0.500 0.752 0.246
Ag 0.500 0.248 0.754
CELL_PARAMETERS angstrom
4.763 0.000 0.000
0.000 5.646 0.000
0.000 0.000 9.793
```

A geometry-optimized Pm4Y3Ge4 structure, computed with PBE-GGA. Values from VASP.

Values from the calculation:
Formation energy from the elements, eV/atom: -0.620
DFT total energy, eV/atom: -5.79

```
&SYSTEM
  ibrav = 0, nat = 11, ntyp = 3
/
ATOMIC_SPECIES
Pm 145.00 Pm.upf
Y 88.91 Y.upf
Ge 72.64 Ge.upf
ATOMIC_POSITIONS crystal
Pm 0.330 0.156 0.660
Pm 0.670 0.496 0.340
Pm 0.670 0.844 0.340
Pm 0.330 0.504 0.660
Y 0.095 0.095 0.189
Y 0.905 0.905 0.811
Y 0.000 0.500 0.000
Ge 0.277 0.777 0.555
Ge 0.723 0.223 0.445
Ge 0.500 0.777 0.000
Ge 0.500 0.223 0.000
CELL_PARAMETERS angstrom
-0.358 -3.395 1.599
-1.882 -3.516 -7.887
9.607 1.928 1.801
```

A geometry-optimized GaSbN2O structure, computed with PBE-GGA. Values from VASP.

Values from the calculation:
Formation energy without anion corrections, eV per atom: 0.622
DFT total energy, eV/atom: -5.13

```
&SYSTEM
  ibrav = 0, nat = 5, ntyp = 4
/
ATOMIC_SPECIES
Sb 121.76 Sb.upf
O 16.00 O.upf
Ga 69.72 Ga.upf
N 14.01 N.upf
ATOMIC_POSITIONS crystal
Sb 0.500 0.500 0.500
O 0.000 0.000 0.500
Ga 0.000 0.000 0.000
N 0.000 0.500 0.000
N 0.500 0.000 0.000
CELL_PARAMETERS angstrom
3.924 0.000 0.000
0.000 3.924 0.000
0.000 0.000 3.925
```